# Ba2ScAl12Pt3

An optimized crystal structure of Ba2ScAl12Pt3 (PBE, Alexandria via LeMat-Bulk).

```
Ba2ScAl12Pt3
1.0
4.7486 2.7416 5.8006
-4.7486 2.7416 5.8006
0.0000 -5.4832 5.8006
Ba Sc Al Pt
2 1 12 3
direct
0.1006 0.1006 0.1006 Ba
0.8994 0.8994 0.8994 Ba
0.5000 0.5000 0.5000 Sc
0.1468 0.6356 0.6356 Al
0.2337 0.2337 0.6182 Al
0.2337 0.6182 0.2337 Al
0.3644 0.3644 0.8532 Al
0.3644 0.8532 0.3644 Al
0.3818 0.7663 0.7663 Al
0.6182 0.2337 0.2337 Al
0.6356 0.1468 0.6356 Al
0.6356 0.6356 0.1468 Al
0.7663 0.3818 0.7663 Al
0.7663 0.7663 0.3818 Al
0.8532 0.3644 0.3644 Al
0.0000 0.5000 0.5000 Pt
0.5000 0.0000 0.5000 Pt
0.5000 0.5000 0.0000 Pt
```

Properties
VASP energy = -75.2 eV/f.u.
Calculated volume = 25.17 A^3/atom
DFT formation energy = -112 meV/atom



# BaAlSi6Pt2

An optimized crystal structure of BaAlSi6Pt2 (PBE, Alexandria via LeMat-Bulk).

```
BaAlSi6Pt2
1.0
3.2189 1.8585 6.9722
-3.2189 1.8585 6.9722
0.0000 -3.7169 6.9722
Ba Al Si Pt
1 1 6 2
direct
0.0000 0.0000 0.0000 Ba
0.5000 0.5000 0.5000 Al
0.1388 0.5329 0.5329 Si
0.4671 0.4671 0.8612 Si
0.4671 0.8612 0.4671 Si
0.5329 0.1388 0.5329 Si
0.5329 0.5329 0.1388 Si
0.8612 0.4671 0.4671 Si
0.3029 0.3029 0.3029 Pt
0.6971 0.6971 0.6971 Pt
```

Properties
Formation energy (no corrections) = -0.18 eV/atom
VASP energy = -52.1 eV/f.u.
Calculated volume = 25.03 A^3/atom



# BaAlSiPt3

An optimized crystal structure of BaAlSiPt3 (PBE, Alexandria via LeMat-Bulk).

```
BaAlSiPt3
1.0
3.4595 -6.6882 0.0000
3.4595 6.6882 0.0000
0.0000 0.0000 5.8393
Ba Al Si Pt
2 2 2 6
direct
0.2459 0.7541 0.7500 Ba
0.7541 0.2459 0.2500 Ba
0.4531 0.5469 0.2500 Al
0.5469 0.4531 0.7500 Al
0.0914 0.9086 0.2500 Si
0.9086 0.0914 0.7500 Si
0.2135 0.2135 0.0000 Pt
0.2135 0.2135 0.5000 Pt
0.2656 0.7345 0.2500 Pt
0.7345 0.2656 0.7500 Pt
0.7865 0.7865 0.0000 Pt
0.7865 0.7865 0.5000 Pt
```

Properties
Formation energy (no corrections) = -0.83 eV/atom
VASP energy = -34.2 eV/f.u.
Calculated volume = 22.52 A^3/atom



# Ba2AlSiPt6

An optimized crystal structure of Ba2AlSiPt6 (PBE, Alexandria via LeMat-Bulk).

```
Ba2AlSiPt6
1.0
6.6857 0.0000 0.0000
3.3376 5.8161 0.0000
3.3288 -1.9085 5.6178
Ba Al Si Pt
2 1 1 6
direct
0.0858 0.2073 0.1214 Ba
0.9142 0.7927 0.8786 Ba
0.5000 0.5000 0.0000 Al
0.5000 0.0000 0.5000 Si
0.0111 0.2430 0.6417 Pt
0.3922 0.3504 0.3617 Pt
0.3957 0.7552 0.3599 Pt
0.6043 0.2448 0.6401 Pt
0.6078 0.6496 0.6383 Pt
0.9889 0.7570 0.3583 Pt
```

Properties
Formation energy (no corrections) = -0.81 eV/atom
VASP energy = -57.3 eV/f.u.
Calculated volume = 21.84 A^3/atom